<P>
Density functional theory data (PBE) for a relaxed Zr2CrI crystal.

As for the crystal system: tetragonal.

The structure belongs to space group I-42d (No. 122); the cell edges are 6.129, 6.129 and 12.162 Å and the angles 90.00°, 90.00° and 90.00°. Symmetry generates all atoms from Zr at (0.149, 0.250, 0.125), Cr at (0.000, 0.000, 0.000) and I at (0.000, 0.000, 0.500).

---

<Q>
Density functional theory data (PBE) for a relaxed Zr2CrI crystal.

As for the crystal system: cubic.

The structure belongs to space group Fm-3m (No. 225); the cell edges are 6.880, 6.880 and 6.880 Å and the angles 90.00°, 90.00° and 90.00°. Symmetry generates all atoms from Zr at (0.250, 0.250, 0.250), Cr at (0.000, 0.000, 0.000) and I at (0.000, 0.000, 0.500).

---

Stability summary - winner: <Q>; margin: 324 meV per atom.

---

<P>
Density functional theory data (PBE) for a relaxed ZrCr3I crystal.

As for the crystal system: cubic.

The structure belongs to space group Pm-3m (No. 221); the cell edges are 5.008, 5.008 and 5.008 Å and the angles 90.00°, 90.00° and 90.00°. Symmetry generates all atoms from Zr at (0.000, 0.000, 0.000), Cr at (0.000, 0.000, 0.500) and I at (0.500, 0.500, 0.500).

---

<Q>
Density functional theory data (PBE) for a relaxed ZrCr3I crystal.

As for the crystal system: cubic.

The structure belongs to space group Pm-3m (No. 221); the cell edges are 4.871, 4.871 and 4.871 Å and the angles 90.00°, 90.00° and 90.00°. Symmetry generates all atoms from Zr at (0.000, 0.000, 0.000), Cr at (0.000, 0.500, 0.500) and I at (0.500, 0.500, 0.500).

---

Stability summary - winner: <Q>; margin: 145 meV per atom.

---

<P>
Density functional theory data (PBE) for a relaxed ZrCrI3 crystal.

As for the crystal system: cubic.

The structure belongs to space group Pm-3m (No. 221); the cell edges are 5.473, 5.473 and 5.473 Å and the angles 90.00°, 90.00° and 90.00°. Symmetry generates all atoms from Zr at (0.000, 0.000, 0.000), Cr at (0.500, 0.500, 0.500) and I at (0.000, 0.500, 0.500).

---

<Q>
Density functional theory data (PBE) for a relaxed ZrCrI3 crystal.

As for the crystal system: cubic.

The structure belongs to space group Pm-3m (No. 221); the cell edges are 5.754, 5.754 and 5.754 Å and the angles 90.00°, 90.00° and 90.00°. Symmetry generates all atoms from Zr at (0.000, 0.000, 0.000), Cr at (0.500, 0.500, 0.500) and I at (0.000, 0.000, 0.500).

---

Stability summary - winner: <Q>; margin: 377 meV per atom.

---

<P>
Density functional theory data (PBE) for a relaxed CrIn4 crystal.

As for the crystal system: cubic.

The structure belongs to space group Pm-3m (No. 221); the cell edges are 5.212, 5.212 and 5.212 Å and the angles 90.00°, 90.00° and 90.00°. Symmetry generates all atoms from Cr at (0.000, 0.000, 0.000), In at (0.000, 0.000, 0.500) and In at (0.500, 0.500, 0.500).

---

<Q>
Density functional theory data (PBE) for a relaxed CrIn4 crystal.

As for the crystal system: tetragonal.

The structure belongs to space group I4/m (No. 87); the cell edges are 7.191, 7.191 and 4.586 Å and the angles 90.00°, 90.00° and 90.00°. Symmetry generates all atoms from Cr at (0.000, 0.000, 0.000) and In at (0.107, 0.297, 0.500).

---

<R>
Density functional theory data (PBE) for a relaxed CrIn4 crystal.

As for the crystal system: cubic.

The structure belongs to space group Im-3m (No. 229); the cell edges are 6.233, 6.233 and 6.233 Å and the angles 90.00°, 90.00° and 90.00°. Symmetry generates all atoms from Cr at (0.000, 0.000, 0.000) and In at (0.250, 0.250, 0.250).

---

Stability summary - winner: <R>; margin: 138 meV per atom.

---

<P>
Density functional theory data (PBE) for a relaxed Cr4In crystal.

As for the crystal system: cubic.

The structure belongs to space group Im-3m (No. 229); the cell edges are 6.324, 6.324 and 6.324 Å and the angles 90.00°, 90.00° and 90.00°. Symmetry generates all atoms from Cr at (0.250, 0.250, 0.250) and In at (0.000, 0.000, 0.000).

---

<Q>
Density functional theory data (PBE) for a relaxed Cr4In crystal.

As for the crystal system: cubic.

The structure belongs to space group Pm-3m (No. 221); the cell edges are 5.116, 5.116 and 5.116 Å and the angles 90.00°, 90.00° and 90.00°. Symmetry generates all atoms from Cr at (0.000, 0.000, 0.000), Cr at (0.000, 0.500, 0.500) and In at (0.500, 0.500, 0.500).

---

Stability summary - winner: <P>; margin: 284 meV per atom.

---

<P>
Density functional theory data (PBE) for a relaxed KCrIn2 crystal.

As for the crystal system: monoclinic.

The structure belongs to space group Cm (No. 8); the cell edges are 9.855, 3.427 and 7.360 Å and the angles 90.00°, 98.21° and 90.00°. Symmetry generates all atoms from K at (0.000, 0.000, 0.000), Cr at (0.232, 0.000, 0.638), In at (0.003, 0.500, 0.552) and In at (0.264, 0.500, 0.321).

---

<Q>
Density functional theory data (PBE) for a relaxed KCrIn2 crystal.

As for the crystal system: monoclinic.

The structure belongs to space group C2/m (No. 12); the cell edges are 9.323, 3.188 and 7.843 Å and the angles 90.00°, 96.20° and 90.00°. Symmetry generates all atoms from K at (0.000, 0.000, 0.000), Cr at (0.000, 0.500, 0.500) and In at (0.236, 0.000, 0.677).

---

<R>
Density functional theory data (PBE) for a relaxed KCrIn2 crystal.

As for the crystal system: orthorhombic.

The structure belongs to space group Cmmm (No. 65); the cell edges are 6.662, 10.148 and 3.162 Å and the angles 90.00°, 90.00° and 90.00°. Symmetry generates all atoms from K at (0.000, 0.000, 0.000), Cr at (0.000, 0.500, 0.000) and In at (0.250, 0.250, 0.500).

---

Stability summary - winner: <Q>; margin: 40 meV per atom.

---

<P>
Density functional theory data (PBE) for a relaxed KCrIn2 crystal.

As for the crystal system: tetragonal.

The structure belongs to space group P4/mmm (No. 123); the cell edges are 4.864, 4.864 and 4.612 Å and the angles 90.00°, 90.00° and 90.00°. Symmetry generates all atoms from K at (0.000, 0.000, 0.000), Cr at (0.500, 0.500, 0.000) and In at (0.000, 0.500, 0.500).

---

<Q>
Density functional theory data (PBE) for a relaxed KCrIn2 crystal.

As for the crystal system: orthorhombic.

The structure belongs to space group Pmm2 (No. 25); the cell edges are 3.280, 4.615 and 7.784 Å and the angles 90.00°, 90.00° and 90.00°. Symmetry generates all atoms from K at (0.000, 0.000, 0.000), Cr at (0.000, 0.500, 0.613), In at (0.500, 0.000, 0.568) and In at (0.500, 0.500, 0.298).

---

Stability summary - winner: <Q>; margin: 212 meV per atom.

---

<P>
Density functional theory data (PBE) for a relaxed KCrIn2 crystal.

As for the crystal system: orthorhombic.

The structure belongs to space group Immm (No. 71); the cell edges are 3.308, 5.967 and 11.440 Å and the angles 90.00°, 90.00° and 90.00°. Symmetry generates all atoms from K at (0.000, 0.000, 0.000), Cr at (0.000, 0.000, 0.500) and In at (0.000, 0.500, 0.208).

---

<Q>
Density functional theory data (PBE) for a relaxed KCrIn2 crystal.

As for the crystal system: orthorhombic.

The structure belongs to space group Pmm2 (No. 25); the cell edges are 3.573, 3.941 and 8.347 Å and the angles 90.00°, 90.00° and 90.00°. Symmetry generates all atoms from K at (0.000, 0.000, 0.000), Cr at (0.500, 0.500, 0.328), In at (0.000, 0.000, 0.459) and In at (0.500, 0.500, 0.688).

---

<R>
Density functional theory data (PBE) for a relaxed KCrIn2 crystal.

As for the crystal system: trigonal.

The structure belongs to space group R-3m (No. 166, hexagonal axes); the cell edges are 3.4371, 3.4371 and 31.0906 Å and the angles 90.00°, 90.00° and 120.00°. Symmetry generates all atoms from K at (0.0000, 0.0000, 0.0000), Cr at (0.0000, 0.0000, 0.5000) and In at (0.0000, 0.0000, 0.2354).

---

Stability summary - winner: <Q>; margin: 21 meV per atom.